! Be3TcIr (PBE, relaxed); values from VASP
&SYSTEM
  ibrav = 0, nat = 5, ntyp = 3
/
ATOMIC_SPECIES
Be 9.01 Be.upf
Tc 98.00 Tc.upf
Ir 192.22 Ir.upf
ATOMIC_POSITIONS crystal
Be 0.000 0.000 0.500
Be 0.000 0.500 0.000
Be 0.500 0.000 0.000
Tc 0.500 0.500 0.500
Ir 0.000 0.000 0.000
CELL_PARAMETERS angstrom
4.111 0.000 0.000
0.000 4.111 0.000
0.000 0.000 4.111
! Magnetic moment ... 2.483 μB per cell
! Excess energy over the best structure of this formula in the dataset ... 0.00 eV per formula unit